# HgP2IrO | Alexandria via LeMat-Bulk | PBE-GGA | optimized geometry
data_HgP2IrO
_space_group_name_H-M_alt 'P 1'
_space_group_IT_number 1
_cell_length_a 4.939
_cell_length_b 4.939
_cell_length_c 3.889
_cell_angle_alpha 90.00
_cell_angle_beta 90.00
_cell_angle_gamma 90.00
loop_
_space_group_symop_operation_xyz
'x,y,z'
loop_
_atom_site_label
_atom_site_type_symbol
_atom_site_fract_x
_atom_site_fract_y
_atom_site_fract_z
P1 P 0.500 0.000 0.000
O1 O 0.000 0.000 0.500
Ir1 Ir 0.500 0.500 0.500
P2 P 0.000 0.500 0.000
Hg1 Hg 0.000 0.000 0.000
# Magnetic moment   0.00 μB/cell
# SG   P4/mmm (123)
# Offset from the most stable computed form   1314 meV per atom